Version a
Compound: Al2ClF
Source: the Alexandria database
Functional: GGA-PBE
Structure: relaxed

Values from the calculation:
Calculated volume: 22.18 A^3/atom
Theoretical density: 2.0 g/cm³
Total magnetic moment: 0.0 μB/f.u.
DOS at the Fermi energy: 0.000 states/eV/cell

```
data_Al2ClF
_chemical_formula_sum 'Al8 Cl4 F4'
_symmetry_space_group_name_H-M 'I -4 2 d'
_symmetry_Int_Tables_number 122
_symmetry_space_group_name_Hall 'I -4 2bw'
_cell_length_a 4.864
_cell_length_b 4.864
_cell_length_c 15.001
_cell_angle_alpha 90.00
_cell_angle_beta 90.00
_cell_angle_gamma 90.00
loop_
_atom_site_label
_atom_site_fract_x
_atom_site_fract_y
_atom_site_fract_z
_atom_site_occupancy
Al1 0.062 0.250 0.125 1
Cl1 0.000 0.000 0.500 1
F1 0.000 0.000 0.000 1
```

=====

Version b
Compound: Al2ClF
Source: the Alexandria database
Functional: GGA-PBE
Structure: relaxed

Values from the calculation:
Calculated volume: 19.86 A^3/atom
Theoretical density: 2.3 g/cm³
Total magnetic moment: 0.0 μB/f.u.
DOS at the Fermi energy: 0.006 states/eV/cell

```
data_Al2ClF
_chemical_formula_sum 'Al8 Cl4 F4'
_symmetry_space_group_name_H-M 'F m -3 m'
_symmetry_Int_Tables_number 225
_symmetry_space_group_name_Hall '-F 4 2 3'
_cell_length_a 6.824
_cell_length_b 6.824
_cell_length_c 6.824
_cell_angle_alpha 90.00
_cell_angle_beta 90.00
_cell_angle_gamma 90.00
loop_
_atom_site_label
_atom_site_fract_x
_atom_site_fract_y
_atom_site_fract_z
_atom_site_occupancy
Al1 0.250 0.250 0.250 1
Cl1 0.000 0.000 0.000 1
F1 0.000 0.000 0.500 1
```

=====

It is version b that is the least stable of them.

=====

Version a
Compound: AlN2ClF
Source: the Alexandria database
Functional: GGA-PBE
Structure: relaxed

Values from the calculation:
Calculated volume: 13.27 A^3/atom
Theoretical density: 2.7 g/cm³
Total magnetic moment: 0.5 μB/f.u.
DOS at the Fermi energy: 3.302 states/eV/cell

```
data_AlN2ClF
_chemical_formula_sum 'Al1 N2 Cl1 F1'
_symmetry_space_group_name_H-M 'P 4/m m m'
_symmetry_Int_Tables_number 123
_symmetry_space_group_name_Hall '-P 4 2'
_cell_length_a 3.649
_cell_length_b 3.649
_cell_length_c 4.983
_cell_angle_alpha 90.00
_cell_angle_beta 90.00
_cell_angle_gamma 90.00
loop_
_atom_site_label
_atom_site_fract_x
_atom_site_fract_y
_atom_site_fract_z
_atom_site_occupancy
Al1 0.000 0.000 0.000 1
N1 0.000 0.500 0.500 1
Cl1 0.500 0.500 0.500 1
F1 0.500 0.500 0.000 1
```

=====

Version b
Compound: AlN2ClF
Source: the Alexandria database
Functional: GGA-PBE
Structure: relaxed

Values from the calculation:
Calculated volume: 12.03 A^3/atom
Theoretical density: 3.0 g/cm³
Total magnetic moment: 3.0 μB/f.u.
DOS at the Fermi energy: 2.808 states/eV/cell

```
data_AlN2ClF
_chemical_formula_sum 'Al1 N2 Cl1 F1'
_symmetry_space_group_name_H-M 'P 4/m m m'
_symmetry_Int_Tables_number 123
_symmetry_space_group_name_Hall '-P 4 2'
_cell_length_a 4.065
_cell_length_b 4.065
_cell_length_c 3.640
_cell_angle_alpha 90.00
_cell_angle_beta 90.00
_cell_angle_gamma 90.00
loop_
_atom_site_label
_atom_site_fract_x
_atom_site_fract_y
_atom_site_fract_z
_atom_site_occupancy
Al1 0.000 0.000 0.000 1
N1 0.000 0.500 0.000 1
Cl1 0.500 0.500 0.500 1
F1 0.000 0.000 0.500 1
```

=====

It is version a that is the least stable of them.

=====

Version a
Compound: AlNClF2
Source: the Alexandria database
Functional: GGA-PBE
Structure: relaxed

Values from the calculation:
Calculated volume: 15.88 A^3/atom
Theoretical density: 2.4 g/cm³
Total magnetic moment: 0.0 μB/f.u.
DOS at the Fermi energy: 3.317 states/eV/cell

```
data_AlNClF2
_chemical_formula_sum 'Al1 N1 Cl1 F2'
_symmetry_space_group_name_H-M 'P 4/m m m'
_symmetry_Int_Tables_number 123
_symmetry_space_group_name_Hall '-P 4 2'
_cell_length_a 4.887
_cell_length_b 4.887
_cell_length_c 3.324
_cell_angle_alpha 90.00
_cell_angle_beta 90.00
_cell_angle_gamma 90.00
loop_
_atom_site_label
_atom_site_fract_x
_atom_site_fract_y
_atom_site_fract_z
_atom_site_occupancy
Al1 0.000 0.000 0.000 1
N1 0.500 0.500 0.000 1
Cl1 0.500 0.500 0.500 1
F1 0.000 0.500 0.500 1
```

=====

Version b
Compound: AlNClF2
Source: the Alexandria database
Functional: GGA-PBE
Structure: relaxed

Values from the calculation:
Calculated volume: 11.27 A^3/atom
Theoretical density: 3.4 g/cm³
Total magnetic moment: 0.3 μB/f.u.
DOS at the Fermi energy: 0.939 states/eV/cell

```
data_AlNClF2
_chemical_formula_sum 'Al1 N1 Cl1 F2'
_symmetry_space_group_name_H-M 'P 4/m m m'
_symmetry_Int_Tables_number 123
_symmetry_space_group_name_Hall '-P 4 2'
_cell_length_a 3.555
_cell_length_b 3.555
_cell_length_c 4.460
_cell_angle_alpha 90.00
_cell_angle_beta 90.00
_cell_angle_gamma 90.00
loop_
_atom_site_label
_atom_site_fract_x
_atom_site_fract_y
_atom_site_fract_z
_atom_site_occupancy
Al1 0.000 0.000 0.000 1
N1 0.000 0.000 0.500 1
Cl1 0.500 0.500 0.500 1
F1 0.000 0.500 0.000 1
```

=====

It is version a that is the least stable of them.

=====

Version a
Compound: AlS2ClF
Source: the Alexandria database
Functional: GGA-PBE
Structure: relaxed

Values from the calculation:
Calculated volume: 19.27 A^3/atom
Theoretical density: 2.5 g/cm³
Total magnetic moment: 0.0 μB/f.u.
DOS at the Fermi energy: 4.483 states/eV/cell

```
data_AlS2ClF
_chemical_formula_sum 'Al1 S2 Cl1 F1'
_symmetry_space_group_name_H-M 'P 4/m m m'
_symmetry_Int_Tables_number 123
_symmetry_space_group_name_Hall '-P 4 2'
_cell_length_a 4.129
_cell_length_b 4.129
_cell_length_c 5.649
_cell_angle_alpha 90.00
_cell_angle_beta 90.00
_cell_angle_gamma 90.00
loop_
_atom_site_label
_atom_site_fract_x
_atom_site_fract_y
_atom_site_fract_z
_atom_site_occupancy
Al1 0.000 0.000 0.000 1
S1 0.000 0.500 0.500 1
Cl1 0.500 0.500 0.000 1
F1 0.500 0.500 0.500 1
```

=====

Version b
Compound: AlS2ClF
Source: the Alexandria database
Functional: GGA-PBE
Structure: relaxed

Values from the calculation:
Calculated volume: 20.02 A^3/atom
Theoretical density: 2.4 g/cm³
Total magnetic moment: 2.6 μB/f.u.
DOS at the Fermi energy: 2.104 states/eV/cell

```
data_AlS2ClF
_chemical_formula_sum 'Al1 S2 Cl1 F1'
_symmetry_space_group_name_H-M 'P 4/m m m'
_symmetry_Int_Tables_number 123
_symmetry_space_group_name_Hall '-P 4 2'
_cell_length_a 4.663
_cell_length_b 4.663
_cell_length_c 4.603
_cell_angle_alpha 90.00
_cell_angle_beta 90.00
_cell_angle_gamma 90.00
loop_
_atom_site_label
_atom_site_fract_x
_atom_site_fract_y
_atom_site_fract_z
_atom_site_occupancy
Al1 0.000 0.000 0.000 1
S1 0.000 0.500 0.000 1
Cl1 0.000 0.000 0.500 1
F1 0.500 0.500 0.500 1
```

=====

It is version a that is the least stable of them.

=====

Version a
Compound: AlSCl2F
Source: the Alexandria database
Functional: GGA-PBE
Structure: relaxed

Values from the calculation:
Calculated volume: 20.30 A^3/atom
Theoretical density: 2.4 g/cm³
Total magnetic moment: 2.0 μB/f.u.
DOS at the Fermi energy: 2.609 states/eV/cell

```
data_AlSCl2F
_chemical_formula_sum 'Al1 S1 Cl2 F1'
_symmetry_space_group_name_H-M 'P 4/m m m'
_symmetry_Int_Tables_number 123
_symmetry_space_group_name_Hall '-P 4 2'
_cell_length_a 4.540
_cell_length_b 4.540
_cell_length_c 4.924
_cell_angle_alpha 90.00
_cell_angle_beta 90.00
_cell_angle_gamma 90.00
loop_
_atom_site_label
_atom_site_fract_x
_atom_site_fract_y
_atom_site_fract_z
_atom_site_occupancy
Al1 0.000 0.000 0.000 1
S1 0.000 0.000 0.500 1
Cl1 0.000 0.500 0.000 1
F1 0.500 0.500 0.500 1
```

=====

Version b
Compound: AlSCl2F
Source: the Alexandria database
Functional: GGA-PBE
Structure: relaxed

Values from the calculation:
Calculated volume: 22.16 A^3/atom
Theoretical density: 2.2 g/cm³
Total magnetic moment: 1.7 μB/f.u.
DOS at the Fermi energy: 3.692 states/eV/cell

```
data_AlSCl2F
_chemical_formula_sum 'Al1 S1 Cl2 F1'
_symmetry_space_group_name_H-M 'P 4/m m m'
_symmetry_Int_Tables_number 123
_symmetry_space_group_name_Hall '-P 4 2'
_cell_length_a 5.505
_cell_length_b 5.505
_cell_length_c 3.657
_cell_angle_alpha 90.00
_cell_angle_beta 90.00
_cell_angle_gamma 90.00
loop_
_atom_site_label
_atom_site_fract_x
_atom_site_fract_y
_atom_site_fract_z
_atom_site_occupancy
Al1 0.000 0.000 0.000 1
S1 0.500 0.500 0.000 1
Cl1 0.000 0.500 0.500 1
F1 0.500 0.500 0.500 1
```

=====

It is version b that is the least stable of them.

=====

Version a
Compound: Al2FeCl
Source: the Alexandria database
Functional: GGA-PBE
Structure: relaxed

Values from the calculation:
Calculated volume: 15.90 A^3/atom
Theoretical density: 3.8 g/cm³
Total magnetic moment: 2.0 μB/f.u.
DOS at the Fermi energy: 4.933 states/eV/cell

```
data_Al2FeCl
_chemical_formula_sum 'Al4 Fe2 Cl2'
_symmetry_space_group_name_H-M 'C m m m'
_symmetry_Int_Tables_number 65
_symmetry_space_group_name_Hall '-C 2 2'
_cell_length_a 6.523
_cell_length_b 7.040
_cell_length_c 2.770
_cell_angle_alpha 90.00
_cell_angle_beta 90.00
_cell_angle_gamma 90.00
loop_
_atom_site_label
_atom_site_fract_x
_atom_site_fract_y
_atom_site_fract_z
_atom_site_occupancy
Al1 0.250 0.250 0.000 1
Fe1 0.000 0.000 0.500 1
Cl1 0.000 0.500 0.500 1
```

=====

Version b
Compound: Al2FeCl
Source: the Alexandria database
Functional: GGA-PBE
Structure: relaxed

Values from the calculation:
Calculated volume: 15.53 A^3/atom
Theoretical density: 3.9 g/cm³
Total magnetic moment: 0.0 μB/f.u.
DOS at the Fermi energy: 1.165 states/eV/cell

```
data_Al2FeCl
_chemical_formula_sum 'Al2 Fe1 Cl1'
_symmetry_space_group_name_H-M 'P 4/m m m'
_symmetry_Int_Tables_number 123
_symmetry_space_group_name_Hall '-P 4 2'
_cell_length_a 2.927
_cell_length_b 2.927
_cell_length_c 7.249
_cell_angle_alpha 90.00
_cell_angle_beta 90.00
_cell_angle_gamma 90.00
loop_
_atom_site_label
_atom_site_fract_x
_atom_site_fract_y
_atom_site_fract_z
_atom_site_occupancy
Al1 0.000 0.000 0.189 1
Fe1 0.500 0.500 0.000 1
Cl1 0.500 0.500 0.500 1
```

=====

It is version a that is the least stable of them.

=====

Version a
Compound: Al2FeCl
Source: the Alexandria database
Functional: GGA-PBE
Structure: relaxed

Values from the calculation:
Calculated volume: 19.38 A^3/atom
Theoretical density: 3.1 g/cm³
Total magnetic moment: 1.0 μB/f.u.
DOS at the Fermi energy: 4.985 states/eV/cell

```
data_Al2FeCl
_chemical_formula_sum 'Al4 Fe2 Cl2'
_symmetry_space_group_name_H-M 'C 1 m 1'
_symmetry_Int_Tables_number 8
_cell_length_a 8.876
_cell_length_b 3.023
_cell_length_c 5.831
_cell_angle_alpha 90.00
_cell_angle_beta 97.85
_cell_angle_gamma 90.00
loop_
_symmetry_equiv_pos_as_xyz
'x,y,z'
'x,-y,z'
'x+1/2,y+1/2,z'
'x+1/2,-y+1/2,z'
loop_
_atom_site_label
_atom_site_fract_x
_atom_site_fract_y
_atom_site_fract_z
_atom_site_occupancy
Al1 0.000 0.000 0.000 1
Al2 0.241 0.500 0.258 1
Fe1 0.461 0.000 0.289 1
Cl1 0.062 0.000 0.637 1
```

=====

Version b
Compound: Al2FeCl
Source: the Alexandria database
Functional: GGA-PBE
Structure: relaxed

Values from the calculation:
Calculated volume: 17.74 A^3/atom
Theoretical density: 3.4 g/cm³
Total magnetic moment: 2.9 μB/f.u.
DOS at the Fermi energy: 6.783 states/eV/cell

```
data_Al2FeCl
_chemical_formula_sum 'Al8 Fe4 Cl4'
_symmetry_space_group_name_H-M 'F m -3 m'
_symmetry_Int_Tables_number 225
_symmetry_space_group_name_Hall '-F 4 2 3'
_cell_length_a 6.572
_cell_length_b 6.572
_cell_length_c 6.572
_cell_angle_alpha 90.00
_cell_angle_beta 90.00
_cell_angle_gamma 90.00
loop_
_atom_site_label
_atom_site_fract_x
_atom_site_fract_y
_atom_site_fract_z
_atom_site_occupancy
Al1 0.250 0.250 0.250 1
Fe1 0.000 0.000 0.000 1
Cl1 0.000 0.000 0.500 1
```

=====

It is version b that is the least stable of them.

=====

Version a
Compound: AlFeCl3
Source: the Alexandria database
Functional: GGA-PBE
Structure: relaxed

Values from the calculation:
Calculated volume: 23.37 A^3/atom
Theoretical density: 2.7 g/cm³
Total magnetic moment: 4.0 μB/f.u.
DOS at the Fermi energy: 4.968 states/eV/cell

```
data_AlFeCl3
_chemical_formula_sum 'Al1 Fe1 Cl3'
_symmetry_space_group_name_H-M 'P m -3 m'
_symmetry_Int_Tables_number 221
_symmetry_space_group_name_Hall '-P 4 2 3'
_cell_length_a 4.889
_cell_length_b 4.889
_cell_length_c 4.889
_cell_angle_alpha 90.00
_cell_angle_beta 90.00
_cell_angle_gamma 90.00
loop_
_atom_site_label
_atom_site_fract_x
_atom_site_fract_y
_atom_site_fract_z
_atom_site_occupancy
Al1 0.000 0.000 0.000 1
Fe1 0.500 0.500 0.500 1
Cl1 0.000 0.500 0.500 1
```

=====

Version b
Compound: AlFeCl3
Source: the Alexandria database
Functional: GGA-PBE
Structure: relaxed

Values from the calculation:
Calculated volume: 22.97 A^3/atom
Theoretical density: 2.7 g/cm³
Total magnetic moment: 4.3 μB/f.u.
DOS at the Fermi energy: 15.009 states/eV/cell

```
data_AlFeCl3
_chemical_formula_sum 'Al1 Fe1 Cl3'
_symmetry_space_group_name_H-M 'P m -3 m'
_symmetry_Int_Tables_number 221
_symmetry_space_group_name_Hall '-P 4 2 3'
_cell_length_a 4.861
_cell_length_b 4.861
_cell_length_c 4.861
_cell_angle_alpha 90.00
_cell_angle_beta 90.00
_cell_angle_gamma 90.00
loop_
_atom_site_label
_atom_site_fract_x
_atom_site_fract_y
_atom_site_fract_z
_atom_site_occupancy
Al1 0.000 0.000 0.000 1
Fe1 0.500 0.500 0.500 1
Cl1 0.000 0.000 0.500 1
```

=====

It is version b that is the least stable of them.